one | Ta3CoRe | PBE-GGA | relaxed

Output
V in Å³ per atom: 22.40
Fermi-level density of states in states/eV/cell: 7.41

The structure in CIF format:
```
data_Ta3CoRe
_cell_length_a 4.820
_cell_length_b 4.820
_cell_length_c 4.820
_cell_angle_alpha 90.00
_cell_angle_beta 90.00
_cell_angle_gamma 90.00
_space_group_name_H-M_alt 'P m -3 m'
_space_group_IT_number 221
_space_group_name_Hall '-P 4 2 3'
loop_
_atom_site_label
_atom_site_type_symbol
_atom_site_fract_x
_atom_site_fract_y
_atom_site_fract_z
Ta1 Ta 0.000 0.000 0.500
Co1 Co 0.500 0.500 0.500
Re1 Re 0.000 0.000 0.000
```

***

two | Ta3CoRe | PBE-GGA | relaxed

Output
V in Å³ per atom: 18.30
Fermi-level density of states in states/eV/cell: 6.16

The structure in CIF format:
```
data_Ta3CoRe
_cell_length_a 4.506
_cell_length_b 4.506
_cell_length_c 4.506
_cell_angle_alpha 90.00
_cell_angle_beta 90.00
_cell_angle_gamma 90.00
_space_group_name_H-M_alt 'P m -3 m'
_space_group_IT_number 221
_space_group_name_Hall '-P 4 2 3'
loop_
_atom_site_label
_atom_site_type_symbol
_atom_site_fract_x
_atom_site_fract_y
_atom_site_fract_z
Ta1 Ta 0.000 0.000 0.500
Co1 Co 0.000 0.000 0.000
Re1 Re 0.500 0.500 0.500
```

***

The most stable arrangement is two, and the next structure is 697 meV/atom less stable.

***

one | TiCoRe2 | PBE-GGA | relaxed

Output
V in Å³ per atom: 14.09
Fermi-level density of states in states/eV/cell: 18.95

The structure in CIF format:
```
data_TiCoRe2
_cell_length_a 6.086
_cell_length_b 6.086
_cell_length_c 6.086
_cell_angle_alpha 90.00
_cell_angle_beta 90.00
_cell_angle_gamma 90.00
_space_group_name_H-M_alt 'F m -3 m'
_space_group_IT_number 225
_space_group_name_Hall '-F 4 2 3'
loop_
_atom_site_label
_atom_site_type_symbol
_atom_site_fract_x
_atom_site_fract_y
_atom_site_fract_z
Ti1 Ti 0.000 0.000 0.000
Co1 Co 0.000 0.000 0.500
Re1 Re 0.250 0.250 0.250
```

***

two | TiCoRe2 | PBE-GGA | relaxed

Output
V in Å³ per atom: 15.29
Fermi-level density of states in states/eV/cell: 20.06

The structure in CIF format:
```
data_TiCoRe2
_cell_length_a 7.016
_cell_length_b 7.016
_cell_length_c 4.972
_cell_angle_alpha 90.00
_cell_angle_beta 90.00
_cell_angle_gamma 90.00
_space_group_name_H-M_alt 'I -4 2 d'
_space_group_IT_number 122
_space_group_name_Hall 'I -4 2bw'
loop_
_atom_site_label
_atom_site_type_symbol
_atom_site_fract_x
_atom_site_fract_y
_atom_site_fract_z
Ti1 Ti 0.000 0.000 0.000
Co1 Co 0.000 0.000 0.500
Re1 Re 0.215 0.250 0.625
```

***

The most stable arrangement is one, and the next structure is 421 meV/atom less stable.

***

one | TiCo2Re | PBE-GGA | relaxed

Output
V in Å³ per atom: 13.21
Fermi-level density of states in states/eV/cell: 19.04

The structure in CIF format:
```
data_TiCo2Re
_cell_length_a 5.956
_cell_length_b 5.956
_cell_length_c 5.956
_cell_angle_alpha 90.00
_cell_angle_beta 90.00
_cell_angle_gamma 90.00
_space_group_name_H-M_alt 'F m -3 m'
_space_group_IT_number 225
_space_group_name_Hall '-F 4 2 3'
loop_
_atom_site_label
_atom_site_type_symbol
_atom_site_fract_x
_atom_site_fract_y
_atom_site_fract_z
Ti1 Ti 0.000 0.000 0.000
Co1 Co 0.250 0.250 0.250
Re1 Re 0.000 0.000 0.500
```

***

two | TiCo2Re | PBE-GGA | relaxed

Output
V in Å³ per atom: 12.71
Fermi-level density of states in states/eV/cell: 4.55

The structure in CIF format:
```
data_TiCo2Re
_cell_length_a 3.748
_cell_length_b 3.748
_cell_length_c 3.619
_cell_angle_alpha 90.00
_cell_angle_beta 90.00
_cell_angle_gamma 90.00
_space_group_name_H-M_alt 'P 4/m m m'
_space_group_IT_number 123
_space_group_name_Hall '-P 4 2'
loop_
_atom_site_label
_atom_site_type_symbol
_atom_site_fract_x
_atom_site_fract_y
_atom_site_fract_z
Ti1 Ti 0.000 0.000 0.000
Co1 Co 0.000 0.500 0.500
Re1 Re 0.500 0.500 0.000
```

***

three | TiCo2Re | PBE-GGA | relaxed

Output
V in Å³ per atom: 14.09
Fermi-level density of states in states/eV/cell: 19.50

The structure in CIF format:
```
data_TiCo2Re
_cell_length_a 3.683
_cell_length_b 3.683
_cell_length_c 16.623
_cell_angle_alpha 90.00
_cell_angle_beta 90.00
_cell_angle_gamma 90.00
_space_group_name_H-M_alt 'I -4 2 d'
_space_group_IT_number 122
_space_group_name_Hall 'I -4 2bw'
loop_
_atom_site_label
_atom_site_type_symbol
_atom_site_fract_x
_atom_site_fract_y
_atom_site_fract_z
Ti1 Ti 0.000 0.000 0.000
Co1 Co 0.247 0.250 0.625
Re1 Re 0.000 0.000 0.500
```

***

The most stable arrangement is two, and the next structure is 93 meV/atom less stable.

***

one | Tl2CoRe | PBE-GGA | relaxed

Output
V in Å³ per atom: 18.20
Fermi-level density of states in states/eV/cell: 8.70

The structure in CIF format:
```
data_Tl2CoRe
_cell_length_a 3.032
_cell_length_b 5.231
_cell_length_c 9.180
_cell_angle_alpha 90.00
_cell_angle_beta 90.00
_cell_angle_gamma 90.00
_space_group_name_H-M_alt 'I m m m'
_space_group_IT_number 71
_space_group_name_Hall '-I 2 2'
loop_
_atom_site_label
_atom_site_type_symbol
_atom_site_fract_x
_atom_site_fract_y
_atom_site_fract_z
Tl1 Tl 0.000 0.000 0.232
Co1 Co 0.000 0.500 0.500
Re1 Re 0.000 0.500 0.000
```

***

two | Tl2CoRe | PBE-GGA | relaxed

Output
V in Å³ per atom: 20.22
Fermi-level density of states in states/eV/cell: 20.73

The structure in CIF format:
```
data_Tl2CoRe
_cell_length_a 4.082
_cell_length_b 4.082
_cell_length_c 19.420
_cell_angle_alpha 90.00
_cell_angle_beta 90.00
_cell_angle_gamma 90.00
_space_group_name_H-M_alt 'I -4 2 d'
_space_group_IT_number 122
_space_group_name_Hall 'I -4 2bw'
loop_
_atom_site_label
_atom_site_type_symbol
_atom_site_fract_x
_atom_site_fract_y
_atom_site_fract_z
Tl1 Tl 0.249 0.250 0.125
Co1 Co 0.000 0.000 0.000
Re1 Re 0.000 0.000 0.500
```

***

three | Tl2CoRe | PBE-GGA | relaxed

Output
V in Å³ per atom: 17.97
Fermi-level density of states in states/eV/cell: 12.90

The structure in CIF format:
```
data_Tl2CoRe
_cell_length_a 3.0756
_cell_length_b 3.0756
_cell_length_c 26.3229
_cell_angle_alpha 90.00
_cell_angle_beta 90.00
_cell_angle_gamma 120.00
_space_group_name_H-M_alt 'R -3 m'
_space_group_IT_number 166
_space_group_name_Hall '-R 3 2"'
loop_
_atom_site_label
_atom_site_type_symbol
_atom_site_fract_x
_atom_site_fract_y
_atom_site_fract_z
Tl1 Tl 0.0000 0.0000 0.2451
Co1 Co 0.0000 0.0000 0.5000
Re1 Re 0.0000 0.0000 0.0000
```

***

The most stable arrangement is three, and the next structure is 101 meV/atom less stable.